Compound: CoReOsSeO
Source: Alexandria via LeMat-Bulk
Functional: GGA+U
Structure: optimized geometry

a b c (Å): 2.7819 9.5495 9.5495
angles (deg): 21.43 90.00 90.00
Fractional coordinates of all 5 atoms:
Co: 0.0000 0.0000 0.0000
Re: 0.0000 0.8476 0.8476
Os: 0.5000 0.4175 0.4175
Se: 0.5000 0.1010 0.1010
O: 0.0000 0.7557 0.7557

Computed properties:
Offset from the most stable computed form   156.2 meV per atom
Calculated total energy   -7.4165 eV per atom
V   92.7 Å³ per cell